Entry 1:
The following is a DFT calculation (PBE) of a geometry-optimized CsTmAuCl6 structure.

space group: C2 (5)

Cell lengths 6.751, 6.751, 7.827 Å; angles 93.13, 93.13, 113.63 degrees
Fractional positions:
Cs  0.000  0.000  0.000
Tm  0.649  0.351  0.500
Au  0.299  0.701  0.500
Cl  0.338  0.417  0.309
Cl  0.339  0.046  0.657
Cl  0.583  0.662  0.691
Cl  0.621  0.073  0.262
Cl  0.927  0.379  0.738
Cl  0.954  0.661  0.343

---

Entry 2:
The following is a DFT calculation (PBE) of a geometry-optimized ErNb4Te8 structure.

space group: C2/m (12)

Cell lengths 7.519, 7.519, 8.730 Å; angles 115.58, 115.58, 59.95 degrees
Fractional positions:
Er  0.000  0.000  0.000
Nb  0.000  0.000  0.500
Nb  0.000  0.500  0.500
Nb  0.500  0.000  0.500
Nb  0.500  0.500  0.500
Te  0.247  0.247  0.740
Te  0.256  0.743  0.740
Te  0.257  0.744  0.260
Te  0.258  0.258  0.260
Te  0.742  0.742  0.740
Te  0.743  0.256  0.740
Te  0.744  0.257  0.260
Te  0.753  0.753  0.260

---

| no. | M_tot (μB per atom) | energy (eV per atom) |
| --- | --- | --- |
| 1 | 0.1153 | -3.717 |
| 2 | 0.0000 | -5.873 |